A relaxed structure of Ce2PrY3Er6, computed with PBE-GGA.

E_tot: -5.231 eV per atom
Formation energy: 0.6 eV/f.u.
Crystal system: monoclinic
SG: No. 12

a = 6.138 Å, b = 6.138 Å, c = 11.720 Å
α = 95.01°, β = 95.01°, γ = 119.99°
Fractional positions:
Ce 0.167 0.833 0.000
Ce 0.833 0.167 0.000
Pr 0.500 0.500 0.000
Y 0.000 0.000 0.500
Y 0.334 0.666 0.500
Y 0.666 0.334 0.500
Er 0.080 0.416 0.750
Er 0.247 0.247 0.249
Er 0.416 0.080 0.750
Er 0.584 0.920 0.250
Er 0.753 0.753 0.751
Er 0.920 0.584 0.250